A relaxed V2NiO6 crystal, computed with GGA+U.

a = 4.998 Å, b = 5.069 Å, c = 5.311 Å
α = 63.00°, β = 89.34°, γ = 60.60°
Each line ends with the local moment (μB).
Atoms (fractional coordinates):
Ni  0.699  0.599  0.100  1.74
V  0.471  0.043  0.456  0.09
V  0.986  0.034  0.966  0.08
O  0.869  0.467  0.787  0.01
O  0.278  0.865  0.795  0.01
O  0.388  0.858  0.282  0.01
O  0.673  0.051  0.798  0.01
O  0.134  0.464  0.288  0.01
O  0.751  0.117  0.279  0.01

Results
crystal system	triclinic
uncorrected energy	-61.6	eV for the cell shown